A geometry-optimized Nd3Y4Tm5 structure. Source: Alexandria, functional PBE.

The structure in POSCAR format:
```
Nd3Y4Tm5
1.0
-2.521 4.984 1.974
-8.256 -1.254 1.509
3.861 2.077 8.574
Nd Y Tm
3 4 5
direct
0.474 0.316 0.736
0.526 0.684 0.264
0.000 0.500 0.500
0.171 0.036 0.621
0.829 0.964 0.379
0.859 0.223 0.059
0.141 0.777 0.941
0.213 0.458 0.115
0.787 0.542 0.885
0.500 0.500 0.500
0.376 0.051 0.196
0.624 0.949 0.804
```

Properties
ρ in g cm⁻³: 6.9
ΔE_f in eV per formula unit: 2.8